[1]
A plane-wave DFT calculation with PBE was carried out for an optimized crystal structure of Re2GeBr2.

Results
As for the density of states at the Fermi level: 0.904 states/eV/atom. Its calculated volume is 190.5 Å³ per cell. The calculation puts the excess energy over the best structure of this formula in the dataset at 208.4 meV/atom. The total energy is -4.98 eV/atom.

Cell lengths 8.1762, 8.1762, 2.8499 Å; angles 90.00, 90.00, 90.00 degrees
With the nearest neighbours (Å) after each atom.
Space group P4/mbm (No. 127)
Symmetry-distinct sites (fractional):
1 Re 0.1959 0.3041 0.0000 [4 per cell]  2 Br 2.47
2 Ge 0.0000 0.0000 0.5000 [2 per cell]  2 Ge 2.85
3 Br 0.1294 0.6294 0.5000 [4 per cell]  2 Re 2.47

***

[2]
A plane-wave DFT calculation with PBE was carried out for an optimized crystal structure of Rb2HoAlSe4.

Results
Its calculated volume is 909.0 Å³ per cell. The total energy is -4.23 eV/atom.

Cell lengths 8.4398, 8.7890, 12.2551 Å; angles 90.00, 90.00, 90.00 degrees
With the nearest neighbours (Å) after each atom.
Space group Imma (No. 74)
Symmetry-distinct sites (fractional):
1 Rb 0.0000 0.0000 0.0000 [4 per cell]  6 Se 3.23-3.26
2 Rb 0.2500 0.2500 0.2500 [4 per cell]  6 Se 3.40
3 Ho 0.0000 0.0000 0.5000 [4 per cell]  6 Se 2.90-2.94
4 Al 0.2500 0.2500 0.7500 [4 per cell]  6 Se 2.74-2.75
5 Se 0.0000 0.0523 0.7370 [8 per cell]  2 Al 2.74, 1 Ho 2.94
6 Se 0.2214 0.2500 0.5265 [8 per cell]  1 Al 2.75, 2 Ho 2.90